# 1
Entry from Alexandria: a geometry-optimized CsMo2Os2 structure (PBE-GGA).

It has space group I4/mmm (No. 139), with a = 4.2283 Å, b = 4.2283 Å, c = 13.2823 Å, α = 90.00°, β = 90.00° and γ = 90.00°. The inequivalent atoms are Cs at (0.0000, 0.0000, 0.0000), Mo at (0.0000, 0.0000, 0.3517) and Os at (0.0000, 0.5000, 0.2500).

The formation energy comes out at 1.023 eV per atom. The value obtained for the size of the total moment is 0.0 μB per formula unit. Its polymorph energy (0 for the lowest one) is 9.9 kJ/mol of atoms.

***

# 2
Entry from Alexandria: a geometry-optimized CsMo2Os2 structure (PBE-GGA).

It has space group P4/mbm (No. 127), with a = 8.0256 Å, b = 8.0256 Å, c = 2.9106 Å, α = 90.00°, β = 90.00° and γ = 90.00°. The inequivalent atoms are Cs at (0.0000, 0.0000, 0.0000), Mo at (0.1484, 0.3516, 0.0000) and Os at (0.1297, 0.6297, 0.5000).

The formation energy comes out at 0.921 eV per atom. The value obtained for the size of the total moment is 0.0 μB per formula unit. Its polymorph energy (0 for the lowest one) is 0.0 kJ/mol of atoms.

***

# 3
Entry from Alexandria: a geometry-optimized CsMo2P structure (PBE-GGA).

It has space group I-42d (No. 122), with a = 4.8716 Å, b = 4.8716 Å, c = 17.3860 Å, α = 90.00°, β = 90.00° and γ = 90.00°. The inequivalent atoms are Cs at (0.0000, 0.0000, 0.0000), Mo at (0.0582, 0.2500, 0.6250) and P at (0.0000, 0.0000, 0.5000).

The formation energy comes out at 1.047 eV per atom. The value obtained for the size of the total moment is 0.0 μB per formula unit.

***

# 4
Entry from Alexandria: a geometry-optimized Cs2Mo2P structure (PBE-GGA).

It has space group P4/mbm (No. 127), with a = 10.9824 Å, b = 10.9824 Å, c = 3.2723 Å, α = 90.00°, β = 90.00° and γ = 90.00°. The inequivalent atoms are Cs at (0.2176, 0.2824, 0.0000), Mo at (0.0657, 0.5657, 0.5000) and P at (0.0000, 0.0000, 0.0000).

The formation energy comes out at 1.590 eV per atom. The value obtained for the size of the total moment is 0.1 μB per formula unit.

***

# 5
Entry from Alexandria: a geometry-optimized CsMo3P structure (PBE-GGA).

It has space group Pm-3m (No. 221), with a = 4.6882 Å, b = 4.6882 Å, c = 4.6882 Å, α = 90.00°, β = 90.00° and γ = 90.00°. The inequivalent atoms are Cs at (0.0000, 0.0000, 0.0000), Mo at (0.0000, 0.5000, 0.5000) and P at (0.5000, 0.5000, 0.5000).

The formation energy comes out at 1.377 eV per atom. The value obtained for the size of the total moment is 0.0 μB per formula unit. Its polymorph energy (0 for the lowest one) is 0.0 kJ/mol of atoms.

***

# 6
Entry from Alexandria: a geometry-optimized CsMoP2 structure (PBE-GGA).

It has space group I4_1/amd (No. 141, origin choice 2), with a = 7.3236 Å, b = 7.3236 Å, c = 10.5053 Å, α = 90.00°, β = 90.00° and γ = 90.00°. The inequivalent atoms are Cs at (0.0000, 0.2500, 0.3750), Mo at (0.0000, 0.2500, 0.8750) and P at (0.0000, 0.0000, 0.0000).

The formation energy comes out at -0.269 eV per atom. The value obtained for the size of the total moment is 0.0 μB per formula unit.

***

# 7
Entry from Alexandria: a geometry-optimized CsMo3P structure (PBE-GGA).

It has space group Pm-3m (No. 221), with a = 4.9146 Å, b = 4.9146 Å, c = 4.9146 Å, α = 90.00°, β = 90.00° and γ = 90.00°. The inequivalent atoms are Cs at (0.0000, 0.0000, 0.0000), Mo at (0.0000, 0.0000, 0.5000) and P at (0.5000, 0.5000, 0.5000).

The formation energy comes out at 3.444 eV per atom. The value obtained for the size of the total moment is 1.3 μB per formula unit. Its polymorph energy (0 for the lowest one) is 199.4 kJ/mol of atoms.

***

# 8
Entry from Alexandria: a geometry-optimized CsMoP2S8 structure (PBE-GGA).

It has space group R-3 (No. 148, hexagonal axes), with a = 6.0211 Å, b = 6.0211 Å, c = 30.4501 Å, α = 90.00°, β = 90.00° and γ = 120.00°. The inequivalent atoms are Cs at (0.0000, 0.0000, 0.0000), Mo at (0.0000, 0.0000, 0.5000), P at (0.0000, 0.0000, 0.2313), S at (0.0000, 0.0000, 0.2964) and S at (0.0005, 0.3361, 0.5433).

The formation energy (no corrections) is -0.38 eV per atom. The value obtained for the size of the total moment is 1.0 μB per formula unit.